No. 1
This record from Alexandria describes a relaxed Mn2PRu crystal. The functional is PBE-GGA.

Its calculated formation energy is 0.65 eV/atom. The calculation puts the density of states at the Fermi level at 23.1 states/eV per cell. Its total magnetic moment is 0.000 μB per atom. The polymorph energy (0 for the lowest one) comes out at 925.9 meV/atom.

It has space group I-42d (No. 122), with a = 5.207 Å, b = 5.207 Å, c = 9.949 Å, α = 90.00°, β = 90.00° and γ = 90.00°. The distinct sites, in fractional coordinates, are Mn at (0.238, 0.250, 0.125), P at (0.000, 0.000, 0.000) and Ru at (0.000, 0.000, 0.500).


No. 2
This record from Alexandria describes a relaxed MnPRu3 crystal. The functional is PBE-GGA.

Its calculated formation energy is 1.44 eV/atom. The calculation puts the density of states at the Fermi level at 10.7 states/eV per cell. Its total magnetic moment is 0.000 μB per atom. The polymorph energy (0 for the lowest one) comes out at 635.5 meV/atom.

It has space group Pm-3m (No. 221), with a = 4.386 Å, b = 4.386 Å, c = 4.386 Å, α = 90.00°, β = 90.00° and γ = 90.00°. The distinct sites, in fractional coordinates, are Mn at (0.000, 0.000, 0.000), P at (0.500, 0.500, 0.500) and Ru at (0.000, 0.000, 0.500).


No. 3
This record from Alexandria describes a relaxed Mn2PRu crystal. The functional is PBE-GGA.

Its calculated formation energy is 0.01 eV/atom. The calculation puts the density of states at the Fermi level at 8.7 states/eV per cell. Its total magnetic moment is 0.258 μB per atom. The polymorph energy (0 for the lowest one) comes out at 286.5 meV/atom.

It has space group R3m (No. 160, hexagonal axes), with a = 2.7397 Å, b = 2.7397 Å, c = 23.1835 Å, α = 90.00°, β = 90.00° and γ = 120.00°. The distinct sites, in fractional coordinates, are Mn at (0.0000, 0.0000, 0.0000), Mn at (0.0000, 0.0000, 0.2502), P at (0.0000, 0.0000, 0.7446) and Ru at (0.0000, 0.0000, 0.4905).